[1]
Compound: Y7Ru
Source: the Alexandria database
Functional: PBE
Structure: optimized geometry

- space-group type = Fm-3m
- crystal system = cubic
- final energy (eV per atom) = -6.6570
- energy of formation (eV per atom) = 0.1586

Cell: 6.8365 6.8365 6.8365 Å, 60.00 60.00 60.00°
Fractional positions:
Y (0.0000, 0.0000, 0.0000)
Y (0.0000, 0.0000, 0.5000)
Y (0.0000, 0.5000, 0.0000)
Y (0.0000, 0.5000, 0.5000)
Y (0.5000, 0.0000, 0.0000)
Y (0.5000, 0.0000, 0.5000)
Y (0.5000, 0.5000, 0.0000)
Ru (0.5000, 0.5000, 0.5000)


[2]
Compound: CsPuBS4
Source: the Alexandria database
Functional: PBE
Structure: optimized geometry

- space-group type = P2_1/m
- formation energy (no corrections) (eV per atom) = -1.08
- crystal system = monoclinic
- final energy (eV per atom) = -6.5584

Cell: 6.0283 6.4015 9.3628 Å, 90.00 106.51 90.00°
Fractional positions:
Cs (0.2202, 0.2500, 0.4358)
Cs (0.7798, 0.7500, 0.5642)
Pu (0.3119, 0.7500, 0.0486)
Pu (0.6881, 0.2500, 0.9514)
B (0.1424, 0.2500, 0.8413)
B (0.8576, 0.7500, 0.1587)
S (0.1550, 0.2500, 0.0501)
S (0.1667, 0.7500, 0.2922)
S (0.3117, 0.0070, 0.8048)
S (0.3117, 0.4930, 0.8048)
S (0.6883, 0.5070, 0.1952)
S (0.6883, 0.9930, 0.1952)
S (0.8333, 0.2500, 0.7078)
S (0.8450, 0.7500, 0.9499)